No. 1
YHg2Au2 after structural relaxation. Source: Alexandria via LeMat-Bulk, functional PBE.

Computed properties:
E above lowest polymorph	0.000	eV per atom
uncorrected energy	-30.7	eV per cell
formation energy from the elements	-343.4	meV per atom

Lattice parameters (Å, degrees): 4.100 4.100 13.830 90.00 90.00 90.00
Atoms (fractional coordinates):
Y 0.000 0.000 0.000
Y 0.500 0.500 0.500
Hg 0.000 0.500 0.250
Hg 0.000 0.500 0.750
Hg 0.500 0.000 0.250
Hg 0.500 0.000 0.750
Au 0.000 0.000 0.403
Au 0.000 0.000 0.597
Au 0.500 0.500 0.097
Au 0.500 0.500 0.903



No. 2
CsCo2W after structural relaxation. Source: Alexandria via LeMat-Bulk, functional PBE.

Computed properties:
E above lowest polymorph	0.000	eV per atom
uncorrected energy	-87.5	eV per cell
formation energy from the elements	1535.3	meV per atom

Lattice parameters (Å, degrees): 7.042 7.042 7.554 90.00 90.00 90.00
Atoms (fractional coordinates):
Cs 0.000 0.000 0.000
Cs 0.000 0.500 0.250
Cs 0.500 0.000 0.750
Cs 0.500 0.500 0.500
Co 0.162 0.250 0.625
Co 0.250 0.662 0.875
Co 0.250 0.838 0.375
Co 0.338 0.250 0.125
Co 0.662 0.750 0.125
Co 0.750 0.162 0.375
Co 0.750 0.338 0.875
Co 0.838 0.750 0.625
W 0.000 0.000 0.500
W 0.000 0.500 0.750
W 0.500 0.000 0.250
W 0.500 0.500 0.000



No. 3
TcSn3As after structural relaxation. Source: Alexandria via LeMat-Bulk, functional PBE.

Computed properties:
E above lowest polymorph	0.000	eV per atom
uncorrected energy	-25.0	eV per cell
formation energy from the elements	400.7	meV per atom

Lattice parameters (Å, degrees): 5.169 5.169 5.169 90.00 90.00 90.00
Atoms (fractional coordinates):
Tc 0.000 0.000 0.000
Sn 0.000 0.000 0.500
Sn 0.000 0.500 0.000
Sn 0.500 0.000 0.000
As 0.500 0.500 0.500



No. 4
HoPuAgPd after structural relaxation. Source: Alexandria via LeMat-Bulk, functional PBE.

Computed properties:
uncorrected energy	-113.0	eV per cell
formation energy from the elements	-322.9	meV per atom

Lattice parameters (Å, degrees): 7.163 7.163 7.163 90.00 90.00 90.00
Atoms (fractional coordinates):
Ho 0.000 0.000 0.000
Ho 0.000 0.500 0.500
Ho 0.500 0.000 0.500
Ho 0.500 0.500 0.000
Pu 0.000 0.000 0.500
Pu 0.000 0.500 0.000
Pu 0.500 0.000 0.000
Pu 0.500 0.500 0.500
Ag 0.250 0.250 0.250
Ag 0.250 0.750 0.750
Ag 0.750 0.250 0.750
Ag 0.750 0.750 0.250
Pd 0.250 0.250 0.750
Pd 0.250 0.750 0.250
Pd 0.750 0.250 0.250
Pd 0.750 0.750 0.750



No. 5
Re3AuSe after structural relaxation. Source: Alexandria via LeMat-Bulk, functional PBE.

Computed properties:
E above lowest polymorph	1.315	eV per atom
uncorrected energy	-28.8	eV per cell
formation energy without anion corrections	3.05	eV per atom

Lattice parameters (Å, degrees): 4.884 4.884 4.884 90.00 90.00 90.00
Atoms (fractional coordinates):
Re 0.000 0.000 0.500
Re 0.000 0.500 0.000
Re 0.500 0.000 0.000
Au 0.000 0.000 0.000
Se 0.500 0.500 0.500



No. 6
Sr2Mg7 after structural relaxation. Source: Alexandria via LeMat-Bulk, functional PBE.

Computed properties:
uncorrected energy	-30.2	eV per cell
formation energy from the elements	-62.0	meV per atom

Lattice parameters (Å, degrees): 15.540 15.540 15.540 23.56 23.56 23.56
Atoms (fractional coordinates):
Sr 0.053 0.053 0.053
Sr 0.151 0.151 0.151
Sr 0.849 0.849 0.849
Sr 0.947 0.947 0.947
Mg 0.000 0.500 0.500
Mg 0.108 0.611 0.611
Mg 0.279 0.279 0.279
Mg 0.388 0.388 0.388
Mg 0.389 0.389 0.892
Mg 0.389 0.892 0.389
Mg 0.500 0.000 0.500
Mg 0.500 0.500 0.000
Mg 0.500 0.500 0.500
Mg 0.611 0.108 0.611
Mg 0.611 0.611 0.108
Mg 0.612 0.612 0.612
Mg 0.721 0.721 0.721
Mg 0.892 0.389 0.389



No. 7
HoScPb2 after structural relaxation. Source: Alexandria via LeMat-Bulk, functional PBE.

Computed properties:
uncorrected energy	-19.8	eV per cell
formation energy from the elements	-359.3	meV per atom

Lattice parameters (Å, degrees): 3.462 3.462 8.765 90.00 90.00 90.00
Atoms (fractional coordinates):
Ho 0.000 0.000 0.000
Sc 0.000 0.000 0.500
Pb 0.500 0.500 0.260
Pb 0.500 0.500 0.740



No. 8
CsCa2Al after structural relaxation. Source: Alexandria via LeMat-Bulk, functional PBE.

Computed properties:
uncorrected energy	-27.5	eV per cell
formation energy from the elements	429.9	meV per atom

Lattice parameters (Å, degrees): 7.972 7.972 17.164 90.00 90.00 90.00
Atoms (fractional coordinates):
Cs 0.000 0.250 0.375
Cs 0.000 0.750 0.625
Cs 0.500 0.250 0.125
Cs 0.500 0.750 0.875
Ca 0.000 0.000 0.000
Ca 0.000 0.500 0.000
Ca 0.250 0.250 0.750
Ca 0.250 0.750 0.250
Ca 0.500 0.000 0.500
Ca 0.500 0.500 0.500
Ca 0.750 0.250 0.750
Ca 0.750 0.750 0.250
Al 0.000 0.250 0.875
Al 0.000 0.750 0.125
Al 0.500 0.250 0.625
Al 0.500 0.750 0.375



No. 9
Th2PaBe2Co7 after structural relaxation. Source: Alexandria via LeMat-Bulk, functional PBE.

Computed properties:
uncorrected energy	-84.3	eV per cell
formation energy from the elements	-235.0	meV per atom

Lattice parameters (Å, degrees): 3.889 3.889 11.630 94.46 94.46 88.87
Atoms (fractional coordinates):
Th 0.082 0.082 0.349
Th 0.918 0.918 0.651
Pa 0.000 0.000 0.000
Be 0.445 0.445 0.759
Be 0.555 0.555 0.241
Co 0.035 0.534 0.157
Co 0.362 0.362 0.567
Co 0.466 0.965 0.843
Co 0.500 0.500 0.000
Co 0.534 0.035 0.157
Co 0.638 0.638 0.433
Co 0.965 0.466 0.843



No. 10
CsPmCuBr6 after structural relaxation. Source: Alexandria via LeMat-Bulk, functional PBE.

Computed properties:
uncorrected energy	-31.7	eV per cell
formation energy without anion corrections	-1.32	eV per atom

Lattice parameters (Å, degrees): 6.965 7.133 8.080 92.61 96.02 112.86
Atoms (fractional coordinates):
Cs 0.000 0.000 0.000
Pm 0.385 0.661 0.511
Cu 0.758 0.341 0.459
Br 0.035 0.590 0.264
Br 0.058 0.317 0.637
Br 0.436 0.932 0.786
Br 0.471 0.379 0.278
Br 0.652 0.984 0.328
Br 0.701 0.547 0.692



No. 11
CdGeO2F after structural relaxation. Source: Alexandria via LeMat-Bulk, functional PBE.

Computed properties:
uncorrected energy	-19.7	eV per cell
formation energy without anion corrections	-0.49	eV per atom

Lattice parameters (Å, degrees): 4.191 4.191 4.270 90.00 90.00 90.00
Atoms (fractional coordinates):
Cd 0.000 0.000 0.000
Ge 0.500 0.500 0.500
O 0.000 0.500 0.000
O 0.500 0.000 0.000
F 0.000 0.000 0.500



No. 12
KAlTl2Pb after structural relaxation. Source: Alexandria via LeMat-Bulk, functional PBE.

Computed properties:
uncorrected energy	-10.4	eV per cell
formation energy from the elements	569.5	meV per atom

Lattice parameters (Å, degrees): 5.947 5.947 6.550 90.00 90.00 90.00
Atoms (fractional coordinates):
K 0.000 0.000 0.000
Al 0.500 0.500 0.000
Tl 0.000 0.500 0.500
Tl 0.500 0.000 0.500
Pb 0.000 0.000 0.500



No. 13
Li3Cu4Rh after structural relaxation. Source: Alexandria via LeMat-Bulk, functional PBE.

Computed properties:
E above lowest polymorph	0.071	eV per atom
uncorrected energy	-58.2	eV per cell
formation energy from the elements	45.0	meV per atom

Lattice parameters (Å, degrees): 4.894 8.506 4.898 90.00 90.00 90.00
Atoms (fractional coordinates):
Li 0.000 0.000 0.000
Li 0.000 0.248 0.233
Li 0.000 0.752 0.233
Li 0.500 0.252 0.733
Li 0.500 0.500 0.500
Li 0.500 0.748 0.733
Cu 0.000 0.238 0.732
Cu 0.000 0.762 0.732
Cu 0.247 0.500 0.003
Cu 0.253 0.000 0.503
Cu 0.500 0.262 0.232
Cu 0.500 0.738 0.232
Cu 0.747 0.000 0.503
Cu 0.753 0.500 0.003
Rh 0.000 0.500 0.509
Rh 0.500 0.000 0.009



No. 14
AcErPt2 after structural relaxation. Source: Alexandria via LeMat-Bulk, functional PBE.

Computed properties:
E above lowest polymorph	0.124	eV per atom
uncorrected energy	-99.6	eV per cell
formation energy from the elements	-1034.6	meV per atom

Lattice parameters (Å, degrees): 7.276 7.276 7.276 90.00 90.00 90.00
Atoms (fractional coordinates):
Ac 0.000 0.000 0.000
Ac 0.000 0.500 0.500
Ac 0.500 0.000 0.500
Ac 0.500 0.500 0.000
Er 0.000 0.000 0.500
Er 0.000 0.500 0.000
Er 0.500 0.000 0.000
Er 0.500 0.500 0.500
Pt 0.250 0.250 0.250
Pt 0.250 0.250 0.750
Pt 0.250 0.750 0.250
Pt 0.250 0.750 0.750
Pt 0.750 0.250 0.250
Pt 0.750 0.250 0.750
Pt 0.750 0.750 0.250
Pt 0.750 0.750 0.750



No. 15
Tm2ScZn6 after structural relaxation. Source: Alexandria via LeMat-Bulk, functional PBE.

Computed properties:
uncorrected energy	-26.2	eV per cell
formation energy from the elements	-366.8	meV per atom

Lattice parameters (Å, degrees): 7.642 7.642 3.363 90.00 90.00 120.00
Atoms (fractional coordinates):
Tm 0.333 0.667 0.000
Tm 0.667 0.333 0.000
Sc 0.000 0.000 0.000
Zn 0.000 0.330 0.500
Zn 0.000 0.670 0.500
Zn 0.330 0.000 0.500
Zn 0.330 0.330 0.500
Zn 0.670 0.000 0.500
Zn 0.670 0.670 0.500



No. 16
TcBiP2Os after structural relaxation. Source: Alexandria via LeMat-Bulk, functional PBE.

Computed properties:
E above lowest polymorph	0.000	eV per atom
uncorrected energy	-31.8	eV per cell
formation energy from the elements	895.2	meV per atom

Lattice parameters (Å, degrees): 4.535 4.535 4.976 90.00 90.00 90.00
Atoms (fractional coordinates):
Tc 0.000 0.000 0.000
Bi 0.500 0.500 0.500
P 0.000 0.500 0.000
P 0.500 0.000 0.000
Os 0.000 0.000 0.500



No. 17
SeSCl3 after structural relaxation. Source: Alexandria via LeMat-Bulk, functional PBE.

Computed properties:
E above lowest polymorph	0.000	eV per atom
uncorrected energy	-53.7	eV per cell
formation energy without anion corrections	-0.05	eV per atom

Lattice parameters (Å, degrees): 5.321 6.519 22.570 90.17 94.02 91.91
Atoms (fractional coordinates):
Se 0.116 0.128 0.422
Se 0.357 0.817 0.060
Se 0.643 0.183 0.940
Se 0.884 0.872 0.578
S 0.148 0.114 0.325
S 0.435 0.570 0.139
S 0.565 0.430 0.861
S 0.852 0.886 0.675
Cl 0.070 0.123 0.710
Cl 0.078 0.991 0.102
Cl 0.171 0.143 0.568
Cl 0.335 0.565 0.917
Cl 0.394 0.567 0.778
Cl 0.411 0.397 0.398
Cl 0.589 0.603 0.602
Cl 0.606 0.433 0.222
Cl 0.665 0.435 0.083
Cl 0.829 0.857 0.432
Cl 0.922 0.009 0.898
Cl 0.930 0.877 0.290



No. 18
Er5Tm2Th2 after structural relaxation. Source: Alexandria via LeMat-Bulk, functional PBE.

Computed properties:
E above lowest polymorph	0.000	eV per atom
uncorrected energy	-45.8	eV per cell
formation energy from the elements	84.2	meV per atom

Lattice parameters (Å, degrees): 3.525 8.337 10.107 76.91 80.19 89.70
Atoms (fractional coordinates):
Er 0.000 0.000 0.000
Er 0.216 0.647 0.568
Er 0.423 0.300 0.135
Er 0.577 0.700 0.865
Er 0.784 0.353 0.432
Tm 0.394 0.686 0.215
Tm 0.606 0.314 0.785
Th 0.179 0.031 0.646
Th 0.821 0.969 0.354



No. 19
Ac2Al2I after structural relaxation. Source: Alexandria via LeMat-Bulk, functional PBE.

Computed properties:
uncorrected energy	-62.7	eV per cell
formation energy without anion corrections	-0.73	eV per atom

Lattice parameters (Å, degrees): 4.470 4.470 28.156 90.00 90.00 120.00
Atoms (fractional coordinates):
Ac 0.000 0.000 0.079
Ac 0.000 0.000 0.921
Ac 0.333 0.667 0.588
Ac 0.333 0.667 0.745
Ac 0.667 0.333 0.255
Ac 0.667 0.333 0.412
Al 0.000 0.000 0.330
Al 0.000 0.000 0.670
Al 0.333 0.667 0.336
Al 0.333 0.667 0.997
Al 0.667 0.333 0.003
Al 0.667 0.333 0.664
I 0.000 0.000 0.500
I 0.333 0.667 0.167
I 0.667 0.333 0.833



No. 20
BaMnAl2 after structural relaxation. Source: Alexandria via LeMat-Bulk, functional PBE.

Computed properties:
uncorrected energy	-34.2	eV per cell
formation energy from the elements	366.7	meV per atom

Lattice parameters (Å, degrees): 3.207 5.453 10.709 90.00 90.00 90.00
Atoms (fractional coordinates):
Ba 0.000 0.000 0.000
Ba 0.500 0.500 0.500
Mn 0.000 0.000 0.500
Mn 0.500 0.500 0.000
Al 0.000 0.500 0.206
Al 0.000 0.500 0.794
Al 0.500 0.000 0.294
Al 0.500 0.000 0.706



No. 21
CaSe2SBr after structural relaxation. Source: Alexandria via LeMat-Bulk, functional PBE.

Computed properties:
E above lowest polymorph	0.634	eV per atom
uncorrected energy	-13.8	eV per cell
formation energy without anion corrections	0.19	eV per atom

Lattice parameters (Å, degrees): 5.763 5.763 5.593 90.00 90.00 90.00
Atoms (fractional coordinates):
Ca 0.000 0.000 0.000
Se 0.000 0.500 0.000
Se 0.500 0.000 0.000
S 0.500 0.500 0.500
Br 0.000 0.000 0.500



No. 22
KTi3Cu after structural relaxation. Source: Alexandria via LeMat-Bulk, functional PBE.

Computed properties:
E above lowest polymorph	0.000	eV per atom
uncorrected energy	-23.9	eV per cell
formation energy from the elements	997.6	meV per atom

Lattice parameters (Å, degrees): 4.853 4.853 4.853 90.00 90.00 90.00
Atoms (fractional coordinates):
K 0.000 0.000 0.000
Ti 0.000 0.500 0.500
Ti 0.500 0.000 0.500
Ti 0.500 0.500 0.000
Cu 0.500 0.500 0.500



No. 23
Pr2NdNi3 after structural relaxation. Source: Alexandria via LeMat-Bulk, functional PBE.

Computed properties:
uncorrected energy	-66.3	eV per cell
formation energy from the elements	-243.8	meV per atom

Lattice parameters (Å, degrees): 7.888 7.888 5.100 90.00 90.00 60.00
Atoms (fractional coordinates):
Pr 0.001 0.667 0.750
Pr 0.333 0.999 0.750
Pr 0.667 0.001 0.250
Pr 0.999 0.333 0.250
Nd 0.334 0.666 0.250
Nd 0.666 0.334 0.750
Ni 0.000 0.000 0.000
Ni 0.000 0.000 0.500
Ni 0.334 0.334 0.000
Ni 0.334 0.334 0.500
Ni 0.666 0.666 0.000
Ni 0.666 0.666 0.500



No. 24
PaAl2Ag after structural relaxation. Source: Alexandria via LeMat-Bulk, functional PBE.

Computed properties:
E above lowest polymorph	0.044	eV per atom
uncorrected energy	-80.7	eV per cell
formation energy from the elements	-82.6	meV per atom

Lattice parameters (Å, degrees): 4.530 10.476 6.793 90.00 90.00 90.00
Atoms (fractional coordinates):
Pa 0.000 0.081 0.250
Pa 0.000 0.919 0.750
Pa 0.500 0.419 0.750
Pa 0.500 0.581 0.250
Al 0.000 0.383 0.057
Al 0.000 0.383 0.443
Al 0.000 0.617 0.557
Al 0.000 0.617 0.943
Al 0.500 0.117 0.557
Al 0.500 0.117 0.943
Al 0.500 0.883 0.057
Al 0.500 0.883 0.443
Ag 0.000 0.211 0.750
Ag 0.000 0.789 0.250
Ag 0.500 0.289 0.250
Ag 0.500 0.711 0.750



No. 25
Ba2MgAs2 after structural relaxation. Source: Alexandria via LeMat-Bulk, functional PBE.

Computed properties:
uncorrected energy	-36.9	eV per cell
formation energy from the elements	-739.3	meV per atom

Lattice parameters (Å, degrees): 8.334 8.334 4.627 90.00 90.00 90.00
Atoms (fractional coordinates):
Ba 0.142 0.358 0.000
Ba 0.358 0.858 0.000
Ba 0.642 0.142 0.000
Ba 0.858 0.642 0.000
Mg 0.000 0.000 0.500
Mg 0.500 0.500 0.500
As 0.169 0.669 0.500
As 0.331 0.169 0.500
As 0.669 0.831 0.500
As 0.831 0.331 0.500